DFT (GGA-PBE) results for crystalline In2SiAs at its relaxed geometry.

```
In2SiAs
1.0
3.662 0.000 0.000
0.000 5.341 0.000
0.000 0.000 9.564
In Si As
4 2 2
Cartesian
0.000 0.000 0.000
0.000 2.670 2.838
1.831 0.000 2.838
1.831 2.670 0.000
0.000 0.000 5.248
1.831 2.670 5.248
0.000 2.670 6.877
1.831 0.000 6.877
```

Summary:
energy above the lowest structure with this stoichiometry = 125 meV per atom
size of the total moment = 0.000 μB/cell